Record 1
! PuTl2CuBr6 PBE-GGA optimized geometry; values from VASP
&SYSTEM
  ibrav = 0, nat = 10, ntyp = 4
/
ATOMIC_SPECIES
Pu 244.00 Pu.upf
Tl 204.38 Tl.upf
Cu 63.55 Cu.upf
Br 79.90 Br.upf
CELL_PARAMETERS angstrom
7.5538 -3.7664 0.0000
7.5538 3.7664 0.0000
-2.4241 0.0000 6.3104
ATOMIC_POSITIONS crystal
Pu 0.0000 0.0000 0.0000
Tl 0.2557 0.2557 0.8118
Tl 0.7443 0.7443 0.1882
Cu 0.5000 0.5000 0.5000
Br 0.1930 0.1930 0.2901
Br 0.1937 0.6632 0.2189
Br 0.3368 0.8063 0.7811
Br 0.6632 0.1937 0.2189
Br 0.8063 0.3368 0.7811
Br 0.8070 0.8070 0.7099
! * raw formation energy: -0.954 eV per atom

=====

Record 2
! SmCl5 PBE-GGA optimized geometry; values from VASP
&SYSTEM
  ibrav = 0, nat = 6, ntyp = 2
/
ATOMIC_SPECIES
Sm 150.36 Sm.upf
Cl 35.45 Cl.upf
CELL_PARAMETERS angstrom
4.1247 0.0000 0.0000
0.0371 5.4193 0.0000
1.9003 0.4882 9.5666
ATOMIC_POSITIONS crystal
Sm 0.0000 0.0000 0.0000
Cl 0.0000 0.5000 0.0000
Cl 0.0975 0.3703 0.4348
Cl 0.4141 0.9827 0.1870
Cl 0.5859 0.0173 0.8130
Cl 0.9025 0.6297 0.5652
! * raw formation energy: -1.486 eV per atom

=====

Record 3
! CeSm8Ho3 PBE-GGA optimized geometry; values from VASP
&SYSTEM
  ibrav = 0, nat = 12, ntyp = 3
/
ATOMIC_SPECIES
Ce 140.12 Ce.upf
Sm 150.36 Sm.upf
Ho 164.93 Ho.upf
CELL_PARAMETERS angstrom
-4.3355 4.3355 5.7216
4.3355 -4.3355 5.7216
4.3355 4.3355 -5.7216
ATOMIC_POSITIONS crystal
Ce 0.0000 0.0000 0.0000
Sm 0.1177 0.1177 0.7548
Sm 0.2147 0.2147 0.4728
Sm 0.2581 0.7853 0.0000
Sm 0.3628 0.3628 0.2452
Sm 0.6372 0.8823 0.0000
Sm 0.7419 0.7419 0.5272
Sm 0.7853 0.2581 0.0000
Sm 0.8823 0.6372 0.0000
Ho 0.2500 0.7500 0.5000
Ho 0.5000 0.5000 0.0000
Ho 0.7500 0.2500 0.5000
! * calculated formation energy: 0.5763 eV/atom

=====

Record 4
! Ir2OsBr PBE-GGA optimized geometry; values from VASP
&SYSTEM
  ibrav = 0, nat = 4, ntyp = 3
/
ATOMIC_SPECIES
Ir 192.22 Ir.upf
Os 190.23 Os.upf
Br 79.90 Br.upf
CELL_PARAMETERS angstrom
-1.3861 2.1750 5.6093
1.3861 -2.1750 5.6093
1.3861 2.1750 -5.6093
ATOMIC_POSITIONS crystal
Ir 0.0000 0.0000 0.0000
Ir 0.7759 0.2759 0.5000
Os 0.2029 0.7029 0.5000
Br 0.4879 0.4879 0.0000
! * E above lowest polymorph: 0.351 eV/atom
! * raw formation energy: 0.958 eV per atom